[1]
A plane-wave DFT calculation with GGA-PBE was carried out for P2PdAuS after structural relaxation.

Computed properties:
The relative energy among the computed polymorphs is 0 meV per atom. The uncorrected formation energy comes out at 0.87 eV/atom. As for the uncorrected energy: -3.81 eV per atom.

a b c (Å): 4.599 4.599 4.877
angles (deg): 90.00 90.00 90.00
Space group P4/mmm (No. 123)
Unique sites:
P 0.000 0.500 0.000
Pd 0.000 0.000 0.000
Au 0.500 0.500 0.500
S 0.000 0.000 0.500



[2]
A plane-wave DFT calculation with GGA-PBE was carried out for Ho4TmSi4 after structural relaxation.

Computed properties:
The uncorrected formation energy comes out at -0.48 eV/atom. As for the uncorrected energy: -5.42 eV per atom.

a b c (Å): 8.883 8.883 5.745
angles (deg): 90.00 90.00 90.00
Space group P4_2/n (No. 86, origin choice 2)
Unique sites:
Ho 0.076 0.659 0.124
Tm 0.250 0.250 0.250
Si 0.020 0.614 0.620